No. 1
Here is crystalline NpTaVOs at its relaxed geometry from Alexandria via LeMat-Bulk. Energies are from GGA-PBE.

a = 4.5560 Å, b = 4.5560 Å, c = 4.5560 Å
α = 60.00°, β = 60.00°, γ = 60.00°
Each line ends with the local moment (μB).
Fractional coordinates of all 4 atoms:
Np: 0.2500 0.2500 0.2500  3.02
V: 0.5000 0.5000 0.5000  0.16
Os: 0.7500 0.7500 0.7500  -0.20
Ta: 0.0000 0.0000 0.0000  0.02

Summary:
* symmetry: F-43m
* density: 16.4 g/cm3
* total energy: -11.0522 eV/atom
* crystal system: cubic
* formation energy from the elements: 0.233 eV per atom
* D(E_F): 9.93 states/eV/cell

***

No. 2
Here is crystalline Ho3ScZn2 at its relaxed geometry from Alexandria via LeMat-Bulk. Energies are from GGA-PBE.

a = 4.9769 Å, b = 6.4695 Å, c = 8.9677 Å
α = 90.00°, β = 90.00°, γ = 90.00°
Fractional coordinates of all 12 atoms:
Zn: 0.0000 0.2864 0.6514
Zn: 0.5000 0.7158 0.8450
Zn: 0.0000 0.7864 0.3486
Zn: 0.5000 0.2158 0.1550
Ho: 0.0000 0.3229 0.3347
Ho: 0.0000 0.9863 0.0510
Ho: 0.0000 0.4863 0.9490
Ho: 0.5000 0.6716 0.1823
Ho: 0.0000 0.8229 0.6653
Ho: 0.5000 0.1716 0.8177
Sc: 0.5000 0.0169 0.4479
Sc: 0.5000 0.5169 0.5521

Summary:
* symmetry: Pmc2_1
* density: 7.7 g/cm3
* total energy: -4.0028 eV/atom
* crystal system: orthorhombic
* formation energy from the elements: -0.234 eV per atom
* D(E_F): 6.70 states/eV/cell
* relative energy among the computed polymorphs: 0.0 meV/atom

***

No. 3
Here is crystalline GePdPt2 at its relaxed geometry from Alexandria via LeMat-Bulk. Energies are from GGA-PBE.

a = 5.6825 Å, b = 5.6825 Å, c = 6.9804 Å
α = 65.98°, β = 65.98°, γ = 90.00°
Fractional coordinates of all 8 atoms:
Pt: 0.1504 0.6250 0.2500
Pt: 0.5996 0.1250 0.2500
Pt: 0.8750 0.8496 0.7500
Pt: 0.3750 0.4004 0.7500
Pd: 0.7500 0.2500 0.5000
Pd: 0.0000 0.0000 0.0000
Ge: 0.2500 0.7500 0.5000
Ge: 0.5000 0.5000 0.0000

Summary:
* symmetry: I-42d
* density: 10.3 g/cm3
* total energy: -5.1285 eV/atom
* crystal system: tetragonal
* formation energy from the elements: 0.344 eV per atom
* D(E_F): 5.48 states/eV/cell

***

No. 4
Here is crystalline AgTeOs at its relaxed geometry from Alexandria via LeMat-Bulk. Energies are from GGA-PBE.

a = 4.4570 Å, b = 4.4570 Å, c = 4.4570 Å
α = 60.00°, β = 60.00°, γ = 60.00°
Fractional coordinates of all 3 atoms:
Os: 0.2500 0.2500 0.2500
Te: 0.0000 0.0000 0.0000
Ag: 0.5000 0.5000 0.5000

Summary:
* symmetry: F-43m
* density: 11.3 g/cm3
* total energy: -5.0940 eV/atom
* crystal system: cubic
* D(E_F): 3.18 states/eV/cell
* ΔE_f (raw): 62.42 kJ/mol of atoms
* relative energy among the computed polymorphs: 225.6 meV/atom

***

No. 5
Here is crystalline NbNi7Sn2P2 at its relaxed geometry from Alexandria via LeMat-Bulk. Energies are from GGA-PBE.

a = 3.6097 Å, b = 3.6097 Å, c = 14.3687 Å
α = 82.79°, β = 82.79°, γ = 90.00°
Fractional coordinates of all 12 atoms:
Nb: 0.0000 0.0000 0.0000
P: 0.6151 0.6151 0.7712
P: 0.3849 0.3849 0.2288
Ni: 0.9320 0.4321 0.1349
Ni: 0.4321 0.9320 0.1349
Ni: 0.5000 0.5000 0.0000
Ni: 0.3096 0.3096 0.3811
Ni: 0.5679 0.0680 0.8651
Ni: 0.6904 0.6904 0.6189
Ni: 0.0680 0.5679 0.8651
Sn: 0.2110 0.2110 0.5775
Sn: 0.7890 0.7890 0.4225

Summary:
* symmetry: I4/mmm
* density: 7.2 g/cm3
* total energy: -6.0443 eV/atom
* crystal system: tetragonal
* formation energy from the elements: -0.264 eV per atom
* D(E_F): 6.35 states/eV/cell

***

No. 6
Here is crystalline Ba3SrPr2Te6 at its relaxed geometry from Alexandria via LeMat-Bulk. Energies are from GGA-PBE.

a = 8.2336 Å, b = 8.2336 Å, c = 8.3583 Å
α = 99.45°, β = 99.45°, γ = 119.98°
Fractional coordinates of all 12 atoms:
Ba: 0.5000 0.5000 0.5000
Ba: 0.1648 0.8352 0.5000
Ba: 0.8352 0.1648 0.5000
Te: 0.0764 0.4154 0.2287
Te: 0.4154 0.0764 0.2287
Te: 0.9236 0.5846 0.7713
Te: 0.5846 0.9236 0.7713
Te: 0.2634 0.2634 0.7733
Te: 0.7366 0.7366 0.2267
Pr: 0.3332 0.6668 0.0000
Pr: 0.6668 0.3332 0.0000
Sr: 0.0000 0.0000 0.0000

Summary:
* symmetry: C2/m
* density: 5.5 g/cm3
* total energy: -4.6277 eV/atom
* crystal system: monoclinic
* D(E_F): 3.35 states/eV/cell
* ΔE_f (raw): -158.18 kJ/mol of atoms

***

No. 7
Here is crystalline Sb2Te2Se at its relaxed geometry from Alexandria via LeMat-Bulk. Energies are from GGA-PBE.

a = 10.6073 Å, b = 10.6073 Å, c = 10.6073 Å
α = 23.08°, β = 23.08°, γ = 23.08°
Fractional coordinates of all 5 atoms:
Sb: 0.5994 0.5994 0.5994
Sb: 0.3973 0.3973 0.3973
Te: 0.9976 0.9976 0.9976
Te: 0.7871 0.7871 0.7871
Se: 0.2186 0.2186 0.2186

Summary:
* symmetry: R3m
* density: 6.0 g/cm3
* total energy: -3.7625 eV/atom
* crystal system: trigonal
* ΔE_f (raw): -15.44 kJ/mol of atoms
* relative energy among the computed polymorphs: 32.1 meV/atom

***

No. 8
Here is crystalline Y3CdPd at its relaxed geometry from Alexandria via LeMat-Bulk. Energies are from GGA-PBE.

a = 7.4466 Å, b = 8.7463 Å, c = 8.7463 Å
α = 81.19°, β = 90.00°, γ = 90.00°
Fractional coordinates of all 20 atoms:
Pd: 0.6189 0.1918 0.3078
Pd: 0.3811 0.8082 0.6922
Pd: 0.1189 0.3078 0.1918
Pd: 0.8811 0.6922 0.8082
Cd: 0.2500 0.3155 0.6845
Cd: 0.7500 0.6845 0.3155
Cd: 0.7500 0.1848 0.8152
Cd: 0.2500 0.8152 0.1848
Y: 0.2832 0.0642 0.4356
Y: 0.4083 0.4706 0.3120
Y: 0.9083 0.0290 0.1880
Y: 0.7832 0.4356 0.0642
Y: 0.0917 0.9710 0.8120
Y: 0.0917 0.6880 0.5294
Y: 0.7168 0.9358 0.5644
Y: 0.9083 0.3120 0.4706
Y: 0.2168 0.5644 0.9358
Y: 0.5917 0.8120 0.9710
Y: 0.4083 0.1880 0.0290
Y: 0.5917 0.5294 0.6880

Summary:
* symmetry: Cmce
* density: 5.7 g/cm3
* total energy: -5.4645 eV/atom
* crystal system: orthorhombic
* formation energy from the elements: -0.365 eV per atom
* D(E_F): 21.56 states/eV/cell
* relative energy among the computed polymorphs: 82.0 meV/atom

***

> What is the formula in the seventh record?

Sb2Te2Se

***

> The lowest density belongs to which entry?

Ba3SrPr2Te6